! GGA+U LaMoF3, optimized geometry; values from VASP
&SYSTEM
  ibrav = 0, nat = 5, ntyp = 3
/
ATOMIC_SPECIES
La 138.91 La.upf
Mo 95.94 Mo.upf
F 19.00 F.upf
CELL_PARAMETERS angstrom
4.4058 0.0000 0.0000
0.0000 4.4058 0.0000
0.0000 0.0000 4.4058
ATOMIC_POSITIONS crystal
La 0.0000 0.0000 0.0000
Mo 0.5000 0.5000 0.5000
F 0.0000 0.5000 0.5000
F 0.5000 0.0000 0.5000
F 0.5000 0.5000 0.0000
! **Symmetry**: Pm-3m (221)
! **Total magnetization**: 0.34 μB/cell
! **Energy above the lowest structure with this stoichiometry**: 905 meV/atom
! **V**: 17.1 A^3/atom